# 1
A relaxed Np2FeGe4Ir3 crystal. Source: the Alexandria database, functional PBE-GGA.

Cell lengths 4.203, 4.203, 10.071 Å; angles 90.00, 90.00, 90.00 degrees
Space group P-4m2 (No. 115)
One atom of each set of equivalent atoms:
1 Np 0.000 0.500 0.246
2 Fe 0.500 0.500 0.000
3 Ge 0.000 0.000 0.500
4 Ge 0.000 0.500 0.874
5 Ge 0.500 0.500 0.500
6 Ir 0.000 0.000 0.000
7 Ir 0.000 0.500 0.632

Calculated values
* total energy: -8.287 eV/atom
* DOS(E_F): 22.4 states/eV/cell

---

# 2
A relaxed GaSeBr2O crystal. Source: the Alexandria database, functional PBE-GGA.

Cell lengths 6.227, 6.227, 3.357 Å; angles 90.00, 90.00, 90.00 degrees
Space group P4/mmm (No. 123)
One atom of each set of equivalent atoms:
1 Ga 0.000 0.000 0.000
2 Se 0.500 0.500 0.000
3 Br 0.000 0.500 0.500
4 O 0.000 0.000 0.500

Calculated values
* E_form (uncorrected): 14.2 kJ/mol of atoms
* polymorph energy (0 for the lowest one): 0.0 meV/atom
* DOS(E_F): 3.1 states/eV/cell

---

# 3
A relaxed CeY2TmSc4 crystal. Source: the Alexandria database, functional PBE-GGA.

Cell lengths 5.909, 3.409, 11.138 Å; angles 90.00, 100.31, 90.00 degrees
Space group P2/m (No. 10)
One atom of each set of equivalent atoms:
1 Ce 0.000 0.000 0.000
2 Y 0.500 0.000 0.500
3 Y 0.500 0.500 0.000
4 Tm 0.000 0.500 0.500
5 Sc 0.242 0.500 0.247
6 Sc 0.245 0.000 0.750

Calculated values
* total energy: -6.008 eV/atom
* DOS(E_F): 15.0 states/eV/cell

---

# 4
A relaxed Nd3Sm8Dy crystal. Source: the Alexandria database, functional PBE-GGA.

Cell lengths 6.593, 11.413, 11.632 Å; angles 90.00, 90.00, 90.00 degrees
Space group Immm (No. 71)
One atom of each set of equivalent atoms:
1 Nd 0.000 0.000 0.000
2 Nd 0.000 0.500 0.246
3 Sm 0.000 0.166 0.251
4 Sm 0.246 0.256 0.000
5 Dy 0.000 0.000 0.500

Calculated values
* total energy: -4.426 eV/atom
* DOS(E_F): 30.8 states/eV/cell

---

# 5
A relaxed BaMn2Br6 crystal. Source: the Alexandria database, functional PBE-GGA.

Cell lengths 14.621, 13.230, 7.599 Å; angles 90.00, 106.22, 90.00 degrees
Space group C2/c (No. 15)
One atom of each set of equivalent atoms:
1 Ba 0.000 0.137 0.250
2 Mn 0.197 0.429 0.250
3 Br 0.122 0.066 0.661
4 Br 0.134 0.274 0.082
5 Br 0.143 0.420 0.540

Calculated values
* E_form (uncorrected): -117.0 kJ/mol of atoms
* DOS(E_F): 0.0 states/eV/cell

---

# 6
A relaxed CdSiPt crystal. Source: the Alexandria database, functional PBE-GGA.

Cell lengths 4.0721, 4.0721, 3.9255 Å; angles 90.00, 90.00, 120.00 degrees
Space group P-6m2 (No. 187)
One atom of each set of equivalent atoms:
1 Cd 0.0000 0.0000 0.0000
2 Si 0.6667 0.3333 0.5000
3 Pt 0.3333 0.6667 0.5000

Calculated values
* E_form (uncorrected): -25.6 kJ/mol of atoms
* DOS(E_F): 0.9 states/eV/cell

---

# 7
A relaxed La8NdY4 crystal. Source: the Alexandria database, functional PBE-GGA.

Cell lengths 11.788, 7.515, 10.682 Å; angles 90.00, 90.03, 90.00 degrees
Space group C2/m (No. 12)
One atom of each set of equivalent atoms:
1 La 0.001 0.214 0.205
2 La 0.239 0.500 0.311
3 La 0.239 0.500 0.690
4 Nd 0.000 0.500 0.000
5 Y 0.000 0.000 0.500
6 Y 0.000 0.500 0.500
7 Y 0.250 0.250 0.000

Calculated values
* total energy: -5.193 eV/atom
* DOS(E_F): 42.9 states/eV/cell

---

# 8
A relaxed Fe4NiPb crystal. Source: the Alexandria database, functional PBE-GGA.

Cell lengths 6.929, 6.929, 6.929 Å; angles 90.00, 90.00, 90.00 degrees
Space group F-43m (No. 216)
One atom of each set of equivalent atoms:
1 Fe 0.124 0.124 0.376
2 Ni 0.250 0.250 0.750
3 Pb 0.000 0.000 0.000

Calculated values
* total energy: -6.892 eV/atom
* DOS(E_F): 22.4 states/eV/cell

---

# 9
A relaxed HfPaPb crystal. Source: the Alexandria database, functional PBE-GGA.

Cell lengths 13.019, 7.103, 7.015 Å; angles 90.00, 90.00, 90.00 degrees
Space group Cmce (No. 64)
One atom of each set of equivalent atoms:
1 Hf 0.115 0.000 0.000
2 Pa 0.250 0.238 0.250
3 Pb 0.000 0.157 0.653

Calculated values
* polymorph energy (0 for the lowest one): 450.5 meV/atom
* DOS(E_F): 37.4 states/eV/cell

---

# 10
A relaxed LaDy14Er crystal. Source: the Alexandria database, functional PBE-GGA.

Cell lengths 11.493, 7.137, 12.365 Å; angles 90.00, 90.00, 90.00 degrees
Space group Amm2 (No. 38)
One atom of each set of equivalent atoms:
1 La 0.000 0.000 0.000
2 Dy 0.000 0.250 0.250
3 Dy 0.249 0.000 0.334
4 Dy 0.252 0.249 0.584
5 Dy 0.253 0.000 0.833
6 Dy 0.500 0.000 0.167
7 Dy 0.500 0.000 0.667
8 Dy 0.500 0.249 0.417
9 Er 0.000 0.000 0.501

Calculated values
* total energy: -4.614 eV/atom
* DOS(E_F): 37.9 states/eV/cell